Entry from the Alexandria database: a geometry-optimized AcTbPmZn structure (PBE-GGA).

Values from the calculation:
E_form = -0.1264 eV/atom
density = 7.99 g/cm3
total moment = 0.0 μB/cell

abc: 3.7126 3.7126 8.9886
angles: 90.00 90.00 90.00
With the nearest neighbours (Å) after each atom.
Space group P4mm (No. 99)
Unique sites:
Ac: 0.0000 0.0000 0.0000 x1  4 Ac 3.71, 4 Tb 3.77, 4 Pm 3.83
Tb: 0.5000 0.5000 0.6985 x1  4 Zn 3.11
Pm: 0.5000 0.5000 0.3099 x1  4 Zn 3.20, 1 Tb 3.49
Zn: 0.0000 0.0000 0.5130 x1  4 Tb 3.11, 4 Pm 3.20